No. 1
This record from OQMD describes KHoTeO after structural relaxation. The functional is GGA-PBE.

## Properties
Total magnetization in μB per atom: 0.00
Final energy in eV per atom: -5.34

```
data_KHoTeO
_space_group_name_H-M_alt 'P 4/n m m'
_space_group_IT_number 129
_cell_length_a 4.2149
_cell_length_b 4.2149
_cell_length_c 10.6467
_cell_angle_alpha 90.00
_cell_angle_beta 90.00
_cell_angle_gamma 90.00
loop_
_space_group_symop_operation_xyz
'x,y,z'
'-x,-y,-z'
'-y+1/2,x,z'
'y+1/2,-x,-z'
'-x+1/2,-y+1/2,z'
'x+1/2,y+1/2,-z'
'y,-x+1/2,z'
'-y,x+1/2,-z'
'x+1/2,-y,-z'
'-x+1/2,y,z'
'-y,-x,-z'
'y,x,z'
'-x,y+1/2,-z'
'x,-y+1/2,z'
'y+1/2,x+1/2,-z'
'-y+1/2,-x+1/2,z'
loop_
_atom_site_label
_atom_site_type_symbol
_atom_site_fract_x
_atom_site_fract_y
_atom_site_fract_z
K1 K 0.2500 0.7500 0.0000
Ho1 Ho 0.2500 0.2500 0.4131
Te1 Te 0.2500 0.2500 0.7626
O1 O 0.2500 0.7500 0.5000
```



No. 2
This record from OQMD describes KHoTeO after structural relaxation. The functional is GGA-PBE.

## Properties
Total magnetization in μB per atom: 0.00
Final energy in eV per atom: -5.57

```
data_KHoTeO
_space_group_name_H-M_alt 'P 1 21/c 1'
_space_group_IT_number 14
_space_group_name_Hall '-P 2ybc'
_cell_length_a 8.6638
_cell_length_b 7.4047
_cell_length_c 6.6129
_cell_angle_alpha 90.00
_cell_angle_beta 95.42
_cell_angle_gamma 90.00
loop_
_atom_site_label
_atom_site_type_symbol
_atom_site_fract_x
_atom_site_fract_y
_atom_site_fract_z
K1 K 0.1235 0.1258 0.3610
Ho1 Ho 0.4880 0.6333 0.7900
Te1 Te 0.2382 0.5796 0.3979
O1 O 0.4269 0.1435 0.3926
```



No. 3
This record from OQMD describes KHoZnO3 after structural relaxation. The functional is GGA-PBE.

## Properties
Total magnetization in μB per atom: 0.00
Final energy in eV per atom: -5.87

```
data_KHoZnO3
_space_group_name_H-M_alt 'C m c m'
_space_group_IT_number 63
_space_group_name_Hall '-C 2c 2'
_cell_length_a 3.4653
_cell_length_b 11.9343
_cell_length_c 8.9857
_cell_angle_alpha 90.00
_cell_angle_beta 90.00
_cell_angle_gamma 90.00
loop_
_atom_site_label
_atom_site_type_symbol
_atom_site_fract_x
_atom_site_fract_y
_atom_site_fract_z
K1 K 0.0000 0.2209 0.2500
Ho1 Ho 0.0000 0.5000 0.0000
Zn1 Zn 0.0000 0.0587 0.7500
O1 O 0.0000 0.1172 0.5528
O2 O 0.0000 0.4599 0.7500
```